Entry 1:
! Rb4Na2S, relaxed, DFT GGA-PBE; values from VASP
&SYSTEM
  ibrav = 0, nat = 7, ntyp = 3
/
ATOMIC_SPECIES
Rb 85.47 Rb.upf
S 32.06 S.upf
Na 22.99 Na.upf
CELL_PARAMETERS angstrom
-0.175 -3.320 5.551
6.178 1.559 1.128
-6.144 9.622 1.790
ATOMIC_POSITIONS crystal
Rb 0.850 0.850 0.699
Rb 0.500 0.000 0.000
Rb 0.150 0.150 0.301
Rb 0.000 0.500 0.000
S 0.000 0.000 0.000
Na 0.345 0.345 0.690
Na 0.655 0.655 0.310
! Space group: No. 139
! Formation energy from raw total energies: -0.34 eV/atom

***

Entry 2:
! Cs2CuNi, relaxed, DFT GGA-PBE; values from VASP
&SYSTEM
  ibrav = 0, nat = 4, ntyp = 3
/
ATOMIC_SPECIES
Cs 132.91 Cs.upf
Ni 58.69 Ni.upf
Cu 63.55 Cu.upf
CELL_PARAMETERS angstrom
-1.272 -1.465 5.824
-4.201 3.205 3.124
-5.394 -2.568 1.411
ATOMIC_POSITIONS crystal
Cs 0.750 0.750 0.750
Cs 0.250 0.250 0.250
Ni 0.000 0.000 0.000
Cu 0.500 0.500 0.500
! E_form: 805 meV/atom
! Space group: No. 225

***

Entry 3:
! BaNa2CrCl8, relaxed, DFT GGA-PBE; values from VASP
&SYSTEM
  ibrav = 0, nat = 12, ntyp = 4
/
ATOMIC_SPECIES
Cl 35.45 Cl.upf
Na 22.99 Na.upf
Cr 52.00 Cr.upf
Ba 137.33 Ba.upf
CELL_PARAMETERS angstrom
-3.124 -3.502 -3.743
4.459 1.274 -4.350
4.591 -6.911 2.623
ATOMIC_POSITIONS crystal
Cl 0.864 0.218 0.191
Cl 0.328 0.205 0.001
Cl 0.541 0.749 0.500
Cl 0.459 0.251 0.500
Cl 0.868 0.221 0.807
Cl 0.136 0.782 0.809
Cl 0.132 0.779 0.193
Cl 0.672 0.795 0.999
Na 0.500 0.501 0.233
Na 0.500 0.499 0.767
Cr 0.000 0.000 0.000
Ba 0.000 0.000 0.500
! Space group: No. 2
! Formation energy from raw total energies: -1.52 eV/atom

***

Entry 4:
! CaAc2Bi3Pd6, relaxed, DFT GGA-PBE; values from VASP
&SYSTEM
  ibrav = 0, nat = 12, ntyp = 4
/
ATOMIC_SPECIES
Bi 208.98 Bi.upf
Pd 106.42 Pd.upf
Ac 227.00 Ac.upf
Ca 40.08 Ca.upf
CELL_PARAMETERS angstrom
4.369 0.000 0.000
0.000 4.369 0.000
0.000 0.000 15.739
ATOMIC_POSITIONS crystal
Bi 0.000 0.000 0.000
Bi 0.000 0.000 0.603
Bi 0.000 0.000 0.397
Pd 0.500 0.000 0.289
Pd 0.000 0.000 0.824
Pd 0.000 0.000 0.176
Pd 0.000 0.500 0.289
Pd 0.500 0.000 0.711
Pd 0.000 0.500 0.711
Ac 0.500 0.500 0.143
Ac 0.500 0.500 0.857
Ca 0.500 0.500 0.500
! E_form: -635 meV/atom
! Space group: No. 123

***

Entry 5:
! Er2Si6Pt21, relaxed, DFT GGA-PBE; values from VASP
&SYSTEM
  ibrav = 0, nat = 29, ntyp = 3
/
ATOMIC_SPECIES
Pt 195.08 Pt.upf
Si 28.09 Si.upf
Er 167.26 Er.upf
CELL_PARAMETERS angstrom
7.531 0.000 4.348
2.510 7.100 4.348
0.000 0.000 8.696
ATOMIC_POSITIONS crystal
Pt 0.000 0.000 0.345
Pt 0.150 0.617 0.617
Pt 0.345 0.000 0.655
Pt 0.383 0.383 0.850
Pt 0.000 0.655 0.000
Pt 0.655 0.000 0.345
Pt 0.000 0.000 0.655
Pt 0.000 0.345 0.655
Pt 0.345 0.000 0.000
Pt 0.617 0.150 0.617
Pt 0.655 0.345 0.000
Pt 0.383 0.850 0.383
Pt 0.617 0.617 0.617
Pt 0.345 0.655 0.000
Pt 0.000 0.345 0.000
Pt 0.617 0.617 0.150
Pt 0.655 0.000 0.000
Pt 0.000 0.655 0.345
Pt 0.850 0.383 0.383
Pt 0.000 0.000 0.000
Pt 0.383 0.383 0.383
Si 0.266 0.734 0.734
Si 0.734 0.734 0.266
Si 0.734 0.266 0.266
Si 0.266 0.734 0.266
Si 0.734 0.266 0.734
Si 0.266 0.266 0.734
Er 0.250 0.250 0.250
Er 0.750 0.750 0.750
! Space group: No. 225
! Formation energy from raw total energies: -0.68 eV/atom

***

Entry 6:
! Mn2TcTeAu, relaxed, DFT GGA-PBE; values from VASP
&SYSTEM
  ibrav = 0, nat = 5, ntyp = 4
/
ATOMIC_SPECIES
Te 127.60 Te.upf
Au 196.97 Au.upf
Mn 54.94 Mn.upf
Tc 98.00 Tc.upf
CELL_PARAMETERS angstrom
-4.729 1.122 0.620
-0.981 -5.031 1.622
0.918 1.313 4.630
ATOMIC_POSITIONS crystal
Te 0.000 0.500 0.000
Au 0.000 0.000 0.000
Mn 0.500 0.000 0.000
Mn 0.000 0.000 0.500
Tc 0.500 0.500 0.500
! Space group: No. 123
! Formation energy from raw total energies: 1.40 eV/atom

***

Entry 7:
! CoAs2Br, relaxed, DFT GGA-PBE; values from VASP
&SYSTEM
  ibrav = 0, nat = 4, ntyp = 3
/
ATOMIC_SPECIES
As 74.92 As.upf
Br 79.90 Br.upf
Co 58.93 Co.upf
CELL_PARAMETERS angstrom
4.648 0.034 0.001
-1.420 4.426 0.001
1.613 2.229 3.746
ATOMIC_POSITIONS crystal
As 0.500 0.500 0.000
As 0.000 0.000 0.000
Br 0.500 0.000 0.500
Co 0.000 0.500 0.500
! Space group: No. 139
! Formation energy from raw total energies: 0.46 eV/atom

***

Entry 8:
! TlPb2Br2, relaxed, DFT GGA-PBE; values from VASP
&SYSTEM
  ibrav = 0, nat = 10, ntyp = 3
/
ATOMIC_SPECIES
Br 79.90 Br.upf
Tl 204.38 Tl.upf
Pb 207.20 Pb.upf
CELL_PARAMETERS angstrom
-8.078 -1.040 -4.696
-0.192 -9.102 2.347
-1.863 0.819 3.023
ATOMIC_POSITIONS crystal
Br 0.628 0.128 0.000
Br 0.128 0.372 0.000
Br 0.872 0.628 0.000
Br 0.372 0.872 0.000
Tl 0.500 0.500 0.000
Tl 0.000 0.000 0.000
Pb 0.313 0.187 0.500
Pb 0.813 0.313 0.500
Pb 0.687 0.813 0.500
Pb 0.187 0.687 0.500
! Space group: No. 127
! Formation energy from raw total energies: -0.23 eV/atom

***

| no. | DOS at the Fermi energy (states/eV/atom) | energy (eV per atom) | M_tot (μB/f.u.) |
| --- | --- | --- | --- |
| 1 | 0.109 | -1.86 | 0.00 |
| 2 | 4.488 | -2.09 | 0.99 |
| 3 | 0.704 | -3.94 | 2.31 |
| 4 | 0.537 | -5.05 | 0.00 |
| 5 | 0.648 | -6.49 | 0.00 |
| 6 | 1.160 | -5.62 | 5.15 |
| 7 | 0.636 | -4.06 | 1.69 |
| 8 | 0.542 | -2.86 | 0.00 |